1.
BeCu2SbI | Alexandria | PBE | relaxed; density = 4.39 g/cm3; formation energy from raw total energies = 1390 meV per atom; symmetry = No. 123
1.0
-0.6827 -3.9344 -2.6926
4.0519 -3.1671 3.6006
-3.6148 -1.3463 2.8838
I Sb Cu Be
1 1 2 1
Cartesian
0.0000 0.0000 0.0000 I
2.0260 -1.5836 1.8003 Sb
-1.8074 -0.6731 1.4419 Cu
-0.3413 -1.9672 -1.3463 Cu
-0.1228 -4.2239 1.8959 Be

---

2.
ZrBeCu2I | Alexandria | PBE | relaxed; density = 4.02 g/cm3; formation energy from raw total energies = 1288 meV per atom; symmetry = No. 123
1.0
5.1482 0.0000 0.0000
0.0000 5.5219 0.0000
0.0000 0.0000 5.1482
I Be Cu Zr
1 1 2 1
Cartesian
0.0000 2.7610 0.0000 I
2.5741 2.7610 2.5741 Be
0.0000 0.0000 2.5741 Cu
2.5741 0.0000 0.0000 Cu
0.0000 0.0000 0.0000 Zr

---

3.
Be2In2Cu | Alexandria | PBE | relaxed; density = 6.62 g/cm3; energy of formation = 0.35 eV/atom; symmetry = No. 127
1.0
6.2996 0.0000 0.0000
0.0000 6.2996 0.0000
0.0000 0.0000 3.9341
Be Cu In
4 2 4
Cartesian
2.3510 5.5008 0.0000 Be
5.5008 3.9486 0.0000 Be
3.9486 0.7988 0.0000 Be
0.7988 2.3510 0.0000 Be
0.0000 0.0000 0.0000 Cu
3.1498 3.1498 0.0000 Cu
1.1138 4.2636 1.9671 In
4.2636 5.1859 1.9671 In
5.1859 2.0361 1.9671 In
2.0361 1.1138 1.9671 In

---

4.
BeIn4Cu | Alexandria | PBE | relaxed; density = 5.86 g/cm3; energy of formation = 0.78 eV/atom; symmetry = No. 216
1.0
0.0000 4.2240 4.2240
4.2240 0.0000 4.2240
4.2240 4.2240 0.0000
Be In Cu
1 4 1
Cartesian
6.3361 6.3361 6.3361 Be
3.1681 5.2799 5.2799 In
5.2799 5.2799 3.1681 In
5.2799 3.1681 5.2799 In
3.1681 3.1681 3.1681 In
0.0000 0.0000 0.0000 Cu

---

For reference, magnetization by record: 0.00; 0.02; 0.00; 0.00 μB/f.u..